# ZrTlTe4Au3 (PBE, relaxed)
data_ZrTlTe4Au3
_cell_length_a 6.4498
_cell_length_b 8.1388
_cell_length_c 10.6767
_cell_angle_alpha 90.00
_cell_angle_beta 107.04
_cell_angle_gamma 90.00
_symmetry_space_group_name_H-M 'P 1 21/m 1'
_symmetry_Int_Tables_number 11
_symmetry_space_group_name_Hall '-P 2yb'
loop_
_atom_site_label
_atom_site_type_symbol
_atom_site_fract_x
_atom_site_fract_y
_atom_site_fract_z
Zr1 Zr 0.1670 0.2500 0.3049
Tl1 Tl 0.3019 0.7500 0.0756
Te1 Te 0.1020 0.0264 0.7483
Te2 Te 0.2768 0.2500 0.0709
Te3 Te 0.4702 0.2500 0.5589
Au1 Au 0.2074 0.5548 0.4962
Au2 Au 0.3516 0.7500 0.7296
# Energy above the most stable polymorph in this dataset: 19 meV/atom
# Crystal system: monoclinic